Material: InH2Rh
Method: DFT, PBE-GGA
State: relaxed

```
data_InH2Rh
_chemical_formula_sum 'In4 H8 Rh4'
_symmetry_space_group_name_H-M 'F m -3 m'
_symmetry_Int_Tables_number 225
_symmetry_space_group_name_Hall '-F 4 2 3'
_cell_length_a 5.5381
_cell_length_b 5.5381
_cell_length_c 5.5381
_cell_angle_alpha 90.00
_cell_angle_beta 90.00
_cell_angle_gamma 90.00
loop_
_atom_site_label
_atom_site_type_symbol
_atom_site_fract_x
_atom_site_fract_y
_atom_site_fract_z
_atom_site_occupancy
In1 In 0.0000 0.0000 0.0000 1
H1 H 0.2500 0.2500 0.2500 1
Rh1 Rh 0.0000 0.0000 0.5000 1
```

- offset from the most stable computed form (meV/atom) = 771
- M_tot (μB/cell) = 0.00
- crystal system = cubic

Material: SrCaSi2
Method: DFT, PBE-GGA
State: relaxed

```
data_SrCaSi2
_chemical_formula_sum 'Sr2 Ca2 Si4'
_symmetry_space_group_name_H-M 'I 4/m m m'
_symmetry_Int_Tables_number 139
_symmetry_space_group_name_Hall '-I 4 2'
_cell_length_a 4.7480
_cell_length_b 4.7480
_cell_length_c 8.6877
_cell_angle_alpha 90.00
_cell_angle_beta 90.00
_cell_angle_gamma 90.00
loop_
_atom_site_label
_atom_site_type_symbol
_atom_site_fract_x
_atom_site_fract_y
_atom_site_fract_z
_atom_site_occupancy
Sr1 Sr 0.0000 0.0000 0.0000 1
Ca1 Ca 0.0000 0.0000 0.5000 1
Si1 Si 0.0000 0.5000 0.2500 1
```

- offset from the most stable computed form (meV/atom) = 319
- M_tot (μB/cell) = 0.00
- crystal system = tetragonal

Material: SrTc4As2
Method: DFT, PBE-GGA
State: relaxed

```
data_SrTc4As2
_chemical_formula_sum 'Sr2 Tc8 As4'
_symmetry_space_group_name_H-M 'C m m m'
_symmetry_Int_Tables_number 65
_symmetry_space_group_name_Hall '-C 2 2'
_cell_length_a 4.1656
_cell_length_b 15.0930
_cell_length_c 4.1084
_cell_angle_alpha 90.00
_cell_angle_beta 90.00
_cell_angle_gamma 90.00
loop_
_atom_site_label
_atom_site_type_symbol
_atom_site_fract_x
_atom_site_fract_y
_atom_site_fract_z
_atom_site_occupancy
Sr1 Sr 0.0000 0.0000 0.0000 1
Tc1 Tc 0.0000 0.1954 0.5000 1
Tc2 Tc 0.0000 0.2987 0.0000 1
As1 As 0.0000 0.4042 0.5000 1
```

- energy (Ry/atom) = -0.5818
- M_tot (μB/cell) = 0.00
- crystal system = orthorhombic

Material: PrMg2Ga2Pd
Method: DFT, PBE-GGA
State: relaxed

```
data_PrMg2Ga2Pd
_chemical_formula_sum 'Pr2 Mg4 Ga4 Pd2'
_symmetry_space_group_name_H-M 'I 4/m m m'
_symmetry_Int_Tables_number 139
_symmetry_space_group_name_Hall '-I 4 2'
_cell_length_a 5.1214
_cell_length_b 5.1214
_cell_length_c 11.1631
_cell_angle_alpha 90.00
_cell_angle_beta 90.00
_cell_angle_gamma 90.00
loop_
_atom_site_label
_atom_site_type_symbol
_atom_site_fract_x
_atom_site_fract_y
_atom_site_fract_z
_atom_site_occupancy
Pr1 Pr 0.0000 0.0000 0.0000 1
Mg1 Mg 0.0000 0.5000 0.2500 1
Ga1 Ga 0.0000 0.0000 0.2862 1
Pd1 Pd 0.0000 0.0000 0.5000 1
```

- energy (Ry/atom) = -0.2399
- M_tot (μB/cell) = 0.00
- crystal system = tetragonal

Material: Pr3HO3
Method: DFT, PBE-GGA
State: relaxed

```
data_Pr3HO3
_chemical_formula_sum 'Pr18 H6 O18'
_symmetry_space_group_name_H-M 'R -3'
_symmetry_Int_Tables_number 148
_symmetry_space_group_name_Hall '-R 3'
_cell_length_a 7.2409
_cell_length_b 7.2409
_cell_length_c 15.4479
_cell_angle_alpha 90.00
_cell_angle_beta 90.00
_cell_angle_gamma 120.00
loop_
_atom_site_label
_atom_site_type_symbol
_atom_site_fract_x
_atom_site_fract_y
_atom_site_fract_z
_atom_site_occupancy
Pr1 Pr 0.0040 0.3538 0.0829 1
H1 H 0.0000 0.0000 0.3317 1
O1 O 0.0016 0.3092 0.9176 1
```

- energy (Ry/atom) = -0.5188
- M_tot (μB/cell) = 0.00
- crystal system = trigonal

M_tot of number 1 (InH2Rh)? 0.00 μB/cell